Entry 1:
! La2CdInH, optimized geometry, DFT PBE-GGA; values from VASP
&SYSTEM
  ibrav = 0, nat = 5, ntyp = 4
/
ATOMIC_SPECIES
La 138.91 La.upf
Cd 112.41 Cd.upf
In 114.82 In.upf
H 1.01 H.upf
CELL_PARAMETERS angstrom
5.029 0.000 0.000
0.000 5.029 0.000
0.000 0.000 4.736
ATOMIC_POSITIONS angstrom
La 0.000 2.515 0.000
La 2.515 0.000 0.000
Cd 0.000 0.000 2.368
In 2.515 2.515 2.368
H 0.000 0.000 0.000
! - Space group: P4/mmm
! - Spin magnetization: 0.00 μB/f.u.
! - Calculated total energy: -0.1389 Ha/atom
! - DOS(E_F): 0.71 states/eV per atom


Entry 2:
! Y2NbZnSi, optimized geometry, DFT PBE-GGA; values from VASP
&SYSTEM
  ibrav = 0, nat = 5, ntyp = 4
/
ATOMIC_SPECIES
Y 88.91 Y.upf
Nb 92.91 Nb.upf
Zn 65.41 Zn.upf
Si 28.09 Si.upf
CELL_PARAMETERS angstrom
5.395 0.000 0.000
0.000 5.395 0.000
0.000 0.000 4.893
ATOMIC_POSITIONS angstrom
Y 0.000 2.698 0.000
Y 2.698 0.000 0.000
Nb 0.000 0.000 0.000
Zn 2.698 2.698 2.446
Si 0.000 0.000 2.446
! - Space group: P4/mmm
! - Spin magnetization: 0.00 μB/f.u.
! - Uncorrected formation energy: 507.4 meV/atom
! - DOS(E_F): 0.75 states/eV per atom


Entry 3:
! Ta2TlIr, optimized geometry, DFT PBE-GGA; values from VASP
&SYSTEM
  ibrav = 0, nat = 4, ntyp = 3
/
ATOMIC_SPECIES
Ta 180.95 Ta.upf
Tl 204.38 Tl.upf
Ir 192.22 Ir.upf
CELL_PARAMETERS angstrom
2.967 0.000 0.000
0.000 2.967 0.000
0.000 0.000 8.436
ATOMIC_POSITIONS angstrom
Ta 0.000 0.000 0.000
Ta 1.483 1.483 2.177
Tl 0.000 0.000 4.531
Ir 1.483 1.483 6.689
! - Space group: P4mm
! - Spin magnetization: 0.00 μB/f.u.
! - E_form: 0.124 eV/atom
! - DOS(E_F): 0.82 states/eV per atom